Below is a relaxed RbAs2RhBr crystal, with properties calculated at the GGA-PBE level.

Calculated values
Total DFT energy (no corrections) ... -2.192 eV per atom
E above lowest polymorph ... 1.932 eV per atom
Energy relative to the elements, uncorrected ... 8.33 eV/f.u.

Unit cell a=6.624 b=6.624 c=6.205 alpha=90.00 beta=90.00 gamma=90.00
Space group P4/mmm (No. 123)
Asymmetric unit:
Rb 0.000 0.000 0.000 (multiplicity 1)
As 0.000 0.500 0.000 (multiplicity 2)
Rh 0.500 0.500 0.500 (multiplicity 1)
Br 0.000 0.000 0.500 (multiplicity 1)



Below is a relaxed Y8Te4PtSe3 crystal, with properties calculated at the GGA-PBE level.

Calculated values
Total DFT energy (no corrections) ... -6.558 eV per atom
Energy relative to the elements, uncorrected ... -24.15 eV/f.u.

Unit cell a=8.4479 b=8.4479 c=21.1232 alpha=90.00 beta=90.00 gamma=120.00
Space group R-3m (No. 166, hexagonal axes)
Asymmetric unit:
Y 0.0000 0.0000 0.2406 (multiplicity 6)
Y 0.0141 0.5070 0.2394 (multiplicity 18)
Te 0.0000 0.0000 0.0000 (multiplicity 3)
Te 0.0000 0.5000 0.0000 (multiplicity 9)
Pt 0.0000 0.0000 0.5000 (multiplicity 3)
Se 0.0000 0.5000 0.5000 (multiplicity 9)



Below is a relaxed KPmS2O6 crystal, with properties calculated at the GGA-PBE level.

Calculated values
Total DFT energy (no corrections) ... -6.416 eV per atom
Energy relative to the elements, uncorrected ... -20.31 eV/f.u.

Unit cell a=8.717 b=10.188 c=7.977 alpha=90.00 beta=113.38 gamma=90.00
Space group C2/c (No. 15)
Asymmetric unit:
K 0.000 0.144 0.250 (multiplicity 4)
Pm 0.000 0.449 0.750 (multiplicity 4)
S 0.215 0.130 0.783 (multiplicity 8)
O 0.099 0.390 0.075 (multiplicity 8)
O 0.195 0.279 0.758 (multiplicity 8)
O 0.232 0.075 0.611 (multiplicity 8)



Below is a relaxed TmGeCl crystal, with properties calculated at the GGA-PBE level.

Calculated values
Total DFT energy (no corrections) ... -4.842 eV per atom
Energy relative to the elements, uncorrected ... -3.59 eV/f.u.

Unit cell a=4.351 b=4.011 c=7.509 alpha=90.00 beta=106.79 gamma=90.00
Space group P2_1/m (No. 11)
Asymmetric unit:
Tm 0.118 0.250 0.235 (multiplicity 2)
Ge 0.443 0.250 0.888 (multiplicity 2)
Cl 0.261 0.750 0.522 (multiplicity 2)